Arrangement 1

Density functional theory data (SCAN) for BeAlP at its PBEsol-relaxed geometry. Values from VASP.

The structure in Quantum ESPRESSO input format:
```
&SYSTEM
  ibrav = 0, nat = 3, ntyp = 3
/
ATOMIC_SPECIES
P 30.97 P.upf
Al 26.98 Al.upf
Be 9.01 Be.upf
ATOMIC_POSITIONS angstrom
P -2.171 1.117 0.071
Al 0.000 0.000 0.000
Be -4.342 2.234 0.142
CELL_PARAMETERS angstrom
-1.953 3.246 1.248
-2.953 1.523 -2.208
-3.778 -0.301 1.242
```

Summary:
Density of states at the Fermi level in states/eV/atom: 0.40
Symmetry: No. 216
Spin magnetization in μB/atom: 0.000

---

Arrangement 2

Density functional theory data (SCAN) for BeAlP at its PBEsol-relaxed geometry. Values from VASP.

The structure in Quantum ESPRESSO input format:
```
&SYSTEM
  ibrav = 0, nat = 3, ntyp = 3
/
ATOMIC_SPECIES
P 30.97 P.upf
Al 26.98 Al.upf
Be 9.01 Be.upf
ATOMIC_POSITIONS angstrom
P -0.945 1.239 2.113
Al -0.075 1.775 5.009
Be 0.924 0.568 3.074
CELL_PARAMETERS angstrom
-0.505 2.743 -0.355
-2.485 -0.941 0.921
2.942 -0.011 4.533
```

Summary:
Density of states at the Fermi level in states/eV/atom: 0.27
Symmetry: No. 42
Spin magnetization in μB/atom: 0.001

---

Least stable structure: arrangement 1

---

Arrangement 1

Density functional theory data (SCAN) for BeAlRe at its PBEsol-relaxed geometry. Values from VASP.

The structure in Quantum ESPRESSO input format:
```
&SYSTEM
  ibrav = 0, nat = 3, ntyp = 3
/
ATOMIC_SPECIES
Re 186.21 Re.upf
Al 26.98 Al.upf
Be 9.01 Be.upf
ATOMIC_POSITIONS angstrom
Re 0.240 0.770 4.808
Al 0.120 0.385 2.404
Be 0.000 0.000 0.000
CELL_PARAMETERS angstrom
-1.922 -0.426 3.460
2.038 -0.806 3.323
0.364 2.772 2.833
```

Summary:
Density of states at the Fermi level in states/eV/atom: 0.88
Symmetry: No. 216
Spin magnetization in μB/atom: 0.338

---

Arrangement 2

Density functional theory data (SCAN) for BeAlRe at its PBEsol-relaxed geometry. Values from VASP.

The structure in Quantum ESPRESSO input format:
```
&SYSTEM
  ibrav = 0, nat = 3, ntyp = 3
/
ATOMIC_SPECIES
Re 186.21 Re.upf
Al 26.98 Al.upf
Be 9.01 Be.upf
ATOMIC_POSITIONS angstrom
Re 0.000 0.000 2.640
Al 1.493 1.493 4.206
Be 1.493 1.493 1.576
CELL_PARAMETERS angstrom
2.986 0.000 0.000
0.000 2.986 0.000
-1.493 -1.493 4.211
```

Summary:
Density of states at the Fermi level in states/eV/atom: 0.48
Symmetry: No. 107
Spin magnetization in μB/atom: 0.000

---

Arrangement 3

Density functional theory data (SCAN) for BeAlRe at its PBEsol-relaxed geometry. Values from VASP.

The structure in Quantum ESPRESSO input format:
```
&SYSTEM
  ibrav = 0, nat = 3, ntyp = 3
/
ATOMIC_SPECIES
Re 186.21 Re.upf
Al 26.98 Al.upf
Be 9.01 Be.upf
ATOMIC_POSITIONS angstrom
Re -1.764 -1.429 1.248
Al -2.649 -4.976 2.274
Be -0.907 -3.637 1.052
CELL_PARAMETERS angstrom
-0.196 0.775 2.509
-2.360 0.259 -1.139
-0.103 -6.055 0.917
```

Summary:
Density of states at the Fermi level in states/eV/atom: 0.45
Symmetry: No. 42
Spin magnetization in μB/atom: 0.000

---

Least stable structure: arrangement 1

---

Arrangement 1

Density functional theory data (SCAN) for BeAlRe2 at its PBEsol-relaxed geometry. Values from VASP.

The structure in Quantum ESPRESSO input format:
```
&SYSTEM
  ibrav = 0, nat = 4, ntyp = 3
/
ATOMIC_SPECIES
Re 186.21 Re.upf
Al 26.98 Al.upf
Be 9.01 Be.upf
ATOMIC_POSITIONS angstrom
Re 0.000 0.000 5.724
Re 1.489 1.489 1.404
Al 0.000 0.000 3.046
Be 1.489 1.489 4.426
CELL_PARAMETERS angstrom
2.978 0.000 0.000
0.000 2.978 0.000
0.000 0.000 5.840
```

Summary:
Density of states at the Fermi level in states/eV/atom: 0.36
Symmetry: No. 99
Spin magnetization in μB/atom: 0.000

---

Arrangement 2

Density functional theory data (SCAN) for BeAlRe2 at its PBEsol-relaxed geometry. Values from VASP.

The structure in Quantum ESPRESSO input format:
```
&SYSTEM
  ibrav = 0, nat = 4, ntyp = 3
/
ATOMIC_SPECIES
Re 186.21 Re.upf
Al 26.98 Al.upf
Be 9.01 Be.upf
ATOMIC_POSITIONS angstrom
Re 1.520 2.140 1.944
Re 0.000 0.000 2.094
Al 1.520 0.000 0.000
Be 0.000 2.140 0.000
CELL_PARAMETERS angstrom
3.040 0.000 0.000
0.000 4.281 0.000
-1.520 -2.140 4.038
```

Summary:
Density of states at the Fermi level in states/eV/atom: 0.41
Symmetry: No. 71
Spin magnetization in μB/atom: 0.000

---

Least stable structure: arrangement 2

---

Arrangement 1

Density functional theory data (SCAN) for BeAlRh2 at its PBEsol-relaxed geometry. Values from VASP.

The structure in Quantum ESPRESSO input format:
```
&SYSTEM
  ibrav = 0, nat = 4, ntyp = 3
/
ATOMIC_SPECIES
Be 9.01 Be.upf
Rh 102.91 Rh.upf
Al 26.98 Al.upf
ATOMIC_POSITIONS angstrom
Be 1.238 1.838 0.601
Rh 1.778 1.278 2.726
Rh 1.585 -0.795 1.083
Al -0.775 0.122 1.224
CELL_PARAMETERS angstrom
-1.550 0.243 2.448
2.437 -3.437 0.157
2.476 3.677 1.203
```

Summary:
Density of states at the Fermi level in states/eV/atom: 0.44
Symmetry: No. 12
Spin magnetization in μB/atom: 0.000

---

Arrangement 2

Density functional theory data (SCAN) for BeAlRh2 at its PBEsol-relaxed geometry. Values from VASP.

The structure in Quantum ESPRESSO input format:
```
&SYSTEM
  ibrav = 0, nat = 4, ntyp = 3
/
ATOMIC_SPECIES
Be 9.01 Be.upf
Rh 102.91 Rh.upf
Al 26.98 Al.upf
ATOMIC_POSITIONS angstrom
Be 1.431 1.431 2.864
Rh 0.000 0.000 4.210
Rh 0.000 0.000 1.517
Al 1.431 1.431 0.000
CELL_PARAMETERS angstrom
2.863 0.000 0.000
0.000 2.863 0.000
0.000 0.000 5.728
```

Summary:
Density of states at the Fermi level in states/eV/atom: 0.25
Symmetry: No. 123
Spin magnetization in μB/atom: 0.000

---

Least stable structure: arrangement 1

---

Arrangement 1

Density functional theory data (SCAN) for Sc2BeAl at its PBEsol-relaxed geometry. Values from VASP.

The structure in Quantum ESPRESSO input format:
```
&SYSTEM
  ibrav = 0, nat = 4, ntyp = 3
/
ATOMIC_SPECIES
Sc 44.96 Sc.upf
Be 9.01 Be.upf
Al 26.98 Al.upf
ATOMIC_POSITIONS angstrom
Sc 6.919 3.995 2.825
Sc 2.306 1.332 0.942
Be 0.000 0.000 0.000
Al 4.613 2.663 1.883
CELL_PARAMETERS angstrom
4.613 0.000 0.000
2.306 3.995 0.000
2.306 1.332 3.766
```

Summary:
Density of states at the Fermi level in states/eV/atom: 0.54
Symmetry: No. 225
Spin magnetization in μB/atom: 0.000

---

Arrangement 2

Density functional theory data (SCAN) for Sc2BeAl at its PBEsol-relaxed geometry. Values from VASP.

The structure in Quantum ESPRESSO input format:
```
&SYSTEM
  ibrav = 0, nat = 4, ntyp = 3
/
ATOMIC_SPECIES
Sc 44.96 Sc.upf
Be 9.01 Be.upf
Al 26.98 Al.upf
ATOMIC_POSITIONS angstrom
Sc 6.082 3.511 0.319
Sc 6.082 3.511 3.520
Be 2.027 1.170 2.225
Al 4.055 2.341 1.826
CELL_PARAMETERS angstrom
4.055 0.000 0.000
2.027 3.511 0.000
2.027 1.170 5.259
```

Summary:
Density of states at the Fermi level in states/eV/atom: 0.79
Symmetry: No. 160
Spin magnetization in μB/atom: 0.000

---

Arrangement 3

Density functional theory data (SCAN) for Sc2BeAl at its PBEsol-relaxed geometry. Values from VASP.

The structure in Quantum ESPRESSO input format:
```
&SYSTEM
  ibrav = 0, nat = 4, ntyp = 3
/
ATOMIC_SPECIES
Sc 44.96 Sc.upf
Be 9.01 Be.upf
Al 26.98 Al.upf
ATOMIC_POSITIONS angstrom
Sc 0.000 0.000 2.299
Sc 0.000 2.299 0.000
Be 1.642 0.000 0.000
Al 1.642 2.299 2.299
CELL_PARAMETERS angstrom
3.284 0.000 0.000
0.000 4.598 0.000
0.000 0.000 4.598
```

Summary:
Density of states at the Fermi level in states/eV/atom: 0.61
Symmetry: No. 123
Spin magnetization in μB/atom: 0.000

---

Least stable structure: arrangement 2

---

Arrangement 1

Density functional theory data (SCAN) for BeAlTc2 at its PBEsol-relaxed geometry. Values from VASP.

The structure in Quantum ESPRESSO input format:
```
&SYSTEM
  ibrav = 0, nat = 4, ntyp = 3
/
ATOMIC_SPECIES
Be 9.01 Be.upf
Tc 98.00 Tc.upf
Al 26.98 Al.upf
ATOMIC_POSITIONS angstrom
Be 2.192 -0.773 0.973
Tc 1.964 0.247 -1.322
Tc 0.351 0.281 2.337
Al -0.123 -1.300 -0.042
CELL_PARAMETERS angstrom
-0.246 -2.600 -0.084
3.927 0.493 -2.645
0.703 0.561 4.675
```

Summary:
Density of states at the Fermi level in states/eV/atom: 0.49
Symmetry: No. 12
Spin magnetization in μB/atom: 0.000

---

Arrangement 2

Density functional theory data (SCAN) for BeAlTc2 at its PBEsol-relaxed geometry. Values from VASP.

The structure in Quantum ESPRESSO input format:
```
&SYSTEM
  ibrav = 0, nat = 4, ntyp = 3
/
ATOMIC_SPECIES
Be 9.01 Be.upf
Tc 98.00 Tc.upf
Al 26.98 Al.upf
ATOMIC_POSITIONS angstrom
Be 1.386 1.937 1.743
Tc 0.000 0.000 0.786
Tc 0.000 1.937 4.086
Al 1.386 0.000 2.988
CELL_PARAMETERS angstrom
2.772 0.000 0.000
0.000 3.875 0.000
-1.386 0.000 4.687
```

Summary:
Density of states at the Fermi level in states/eV/atom: 0.62
Symmetry: No. 38
Spin magnetization in μB/atom: 0.000

---

Least stable structure: arrangement 1